Entry 1:
Crystalline PrTm4Sc2 at its relaxed geometry, computed with GGA-PBE.

The structure belongs to space group I4/mmm (No. 139); the cell edges are 5.535, 5.535 and 15.674 Å and the angles 90.00°, 90.00° and 90.00°. Symmetry generates all atoms from Pr at (0.000, 0.000, 0.000), Tm at (0.000, 0.000, 0.188), Tm at (0.000, 0.500, 0.000) and Sc at (0.000, 0.000, 0.395).

As for the uncorrected energy: -4.27 eV per atom. Its energy above the most stable polymorph in this dataset is 0.732 eV/atom. As for the total magnetization: 0.00 μB/cell.

=====

Entry 2:
Crystalline Pr5Tm5Sc2 at its relaxed geometry, computed with GGA-PBE.

The structure belongs to space group C2/m (No. 12); the cell edges are 15.150, 5.018 and 11.146 Å and the angles 90.00°, 116.87° and 90.00°. Symmetry generates all atoms from Pr at (0.000, 0.000, 0.000), Pr at (0.079, 0.000, 0.743), Pr at (0.249, 0.000, 0.258), Tm at (0.000, 0.500, 0.500), Tm at (0.088, 0.500, 0.260), Tm at (0.167, 0.500, 0.999) and Sc at (0.169, 0.000, 0.499).

As for the uncorrected energy: -4.87 eV per atom. As for the total magnetization: 0.00 μB/cell.

=====

Entry 3:
Crystalline Pr5Tm6Sc2 at its relaxed geometry, computed with GGA-PBE.

The structure belongs to space group Pbam (No. 55); the cell edges are 11.285, 20.422 and 3.597 Å and the angles 90.00°, 90.00° and 90.00°. Symmetry generates all atoms from Pr at (0.000, 0.000, 0.000), Pr at (0.064, 0.424, 0.000), Pr at (0.149, 0.723, 0.000), Tm at (0.080, 0.155, 0.000), Tm at (0.167, 0.883, 0.500), Tm at (0.224, 0.557, 0.500) and Sc at (0.111, 0.286, 0.500).

As for the uncorrected energy: -4.81 eV per atom. As for the total magnetization: 0.00 μB/cell.